DFT (PBE with a Hubbard U) results for crystalline Ba2YFe2O6 at its relaxed geometry.

Computed properties:
energy	-6.9618	eV/atom
total magnetization	0.82	μB/atom

Lattice parameters (Å, degrees): 6.1580 6.1580 17.4105 90.00 90.00 120.00
Space group R-3m (No. 166, hexagonal axes)
Symmetry-distinct sites (fractional):
Ba  0.0000  0.0000  0.2115 (multiplicity 6)
Y  0.0000  0.0000  0.0000 (multiplicity 3)
Fe  0.0000  0.0000  0.4266 (multiplicity 6)
O  0.0127  0.5063  0.7526 (multiplicity 18)